1.
{
  "formula": "La7Pr5",
  "functional": "PBE-GGA",
  "state": "relaxed",
  "delta_e_f_mev_per_atom": 7,
  "energy_ev_per_atom": -4.8592,
  "de_polymorph_mev_per_atom": 0,
  "cell": [[3.701, 0.000, 0.584], [1.482, 9.471, 2.628], [-0.094, 0.229, 12.618]],
  "species": ["Pr", "Pr", "Pr", "Pr", "Pr", "La", "La", "La", "La", "La", "La", "La"],
  "frac_coords": [[0.167, 0.168, 0.498], [0.833, 0.832, 0.502], [0.307, 0.636, 0.750], [0.000, 0.000, 0.000], [0.693, 0.364, 0.250], [0.974, 0.303, 0.750], [0.667, 0.667, 0.999], [0.640, 0.971, 0.750], [0.333, 0.333, 0.001], [0.026, 0.697, 0.250], [0.500, 0.500, 0.500], [0.360, 0.029, 0.250]]
}

2.
{
  "formula": "BeCd2",
  "functional": "PBE-GGA",
  "state": "relaxed",
  "delta_e_f_mev_per_atom": 304,
  "energy_ev_per_atom": -1.5479,
  "de_polymorph_mev_per_atom": 56,
  "cell": [[-4.848, 6.711, 3.455], [3.437, -8.166, -1.411], [3.136, 0.842, 2.765]],
  "species": ["Cd", "Cd", "Cd", "Cd", "Be", "Be"],
  "frac_coords": [[0.703, 0.297, 0.250], [0.567, 0.433, 0.750], [0.433, 0.567, 0.250], [0.297, 0.703, 0.750], [0.930, 0.070, 0.750], [0.070, 0.930, 0.250]]
}